1.
DFT (PBE-GGA) results for Pm3SiCl3 after structural relaxation.

Cell and atoms, written as CIF:
```
data_Pm3SiCl3
_chemical_formula_sum 'Pm3 Si1 Cl3'
_space_group_name_H-M_alt 'P m -3 m'
_space_group_IT_number 221
_space_group_name_Hall '-P 4 2 3'
_cell_length_a 5.771
_cell_length_b 5.771
_cell_length_c 5.771
_cell_angle_alpha 90.00
_cell_angle_beta 90.00
_cell_angle_gamma 90.00
loop_
_atom_site_label
_atom_site_type_symbol
_atom_site_fract_x
_atom_site_fract_y
_atom_site_fract_z
_atom_site_occupancy
Pm1 Pm 0.000 0.000 0.500 1
Si1 Si 0.000 0.000 0.000 1
Cl1 Cl 0.000 0.500 0.500 1
```

2.
DFT (PBE-GGA) results for Pm3SiCl3 after structural relaxation.

Cell and atoms, written as CIF:
```
data_Pm3SiCl3
_chemical_formula_sum 'Pm24 Si8 Cl24'
_space_group_name_H-M_alt 'I 41 3 2'
_space_group_IT_number 214
_space_group_name_Hall 'I 4bd 2c 3'
_cell_length_a 11.631
_cell_length_b 11.631
_cell_length_c 11.631
_cell_angle_alpha 90.00
_cell_angle_beta 90.00
_cell_angle_gamma 90.00
loop_
_atom_site_label
_atom_site_type_symbol
_atom_site_fract_x
_atom_site_fract_y
_atom_site_fract_z
_atom_site_occupancy
Pm1 Pm 0.118 0.368 0.125 1
Si1 Si 0.125 0.125 0.125 1
Cl1 Cl 0.124 0.126 0.625 1
```

Stability check: which of them is most stable? 2.

1.
DFT (PBE-GGA) results for Pm4Si2Cl after structural relaxation.

Cell and atoms, written as CIF:
```
data_Pm4Si2Cl
_chemical_formula_sum 'Pm16 Si8 Cl4'
_space_group_name_H-M_alt 'I -4 2 d'
_space_group_IT_number 122
_space_group_name_Hall 'I -4 2bw'
_cell_length_a 8.814
_cell_length_b 8.814
_cell_length_c 9.223
_cell_angle_alpha 90.00
_cell_angle_beta 90.00
_cell_angle_gamma 90.00
loop_
_atom_site_label
_atom_site_type_symbol
_atom_site_fract_x
_atom_site_fract_y
_atom_site_fract_z
_atom_site_occupancy
Pm1 Pm 0.074 0.189 0.319 1
Si1 Si 0.123 0.250 0.625 1
Cl1 Cl 0.000 0.000 0.000 1
```

2.
DFT (PBE-GGA) results for Pm4Si2Cl after structural relaxation.

Cell and atoms, written as CIF:
```
data_Pm4Si2Cl
_chemical_formula_sum 'Pm8 Si4 Cl2'
_space_group_name_H-M_alt 'P 1 21/m 1'
_space_group_IT_number 11
_cell_length_a 6.836
_cell_length_b 6.774
_cell_length_c 8.891
_cell_angle_alpha 90.00
_cell_angle_beta 108.63
_cell_angle_gamma 90.00
loop_
_space_group_symop_operation_xyz
'x,y,z'
'-x,-y,-z'
'-x,y+1/2,-z'
'x,-y+1/2,z'
loop_
_atom_site_label
_atom_site_type_symbol
_atom_site_fract_x
_atom_site_fract_y
_atom_site_fract_z
_atom_site_occupancy
Pm1 Pm 0.022 0.004 0.248 1
Pm2 Pm 0.457 0.250 0.145 1
Pm3 Pm 0.457 0.250 0.571 1
Si1 Si 0.189 0.750 0.551 1
Si2 Si 0.201 0.750 0.048 1
Cl1 Cl 0.315 0.250 0.823 1
```

Stability check: which of them is most stable? 1.